[1]
Material: CrAuBr
Method: DFT, PBE
State: optimized geometry

The structure belongs to space group I4mm (No. 107); the cell edges are 3.232, 3.232 and 12.507 Å and the angles 90.00°, 90.00° and 90.00°. The inequivalent atoms are Cr at (0.000, 0.000, 0.000), Au at (0.000, 0.000, 0.631) and Br at (0.000, 0.000, 0.369).

The calculation puts the size of the total moment at 1.34 μB per atom. The calculation puts the uncorrected formation energy at 164 meV per atom. The value obtained for the offset from the most stable computed form is 142 meV per atom. As for the energy: -4.694 eV per atom. The volume is 21.780 Å³/atom.

[2]
Material: CrAu2Br
Method: DFT, PBE
State: optimized geometry

The structure belongs to space group Cmmm (No. 65); the cell edges are 5.347, 9.003 and 3.530 Å and the angles 90.00°, 90.00° and 90.00°. The inequivalent atoms are Cr at (0.000, 0.000, 0.000), Au at (0.000, 0.226, 0.500) and Br at (0.000, 0.500, 0.000).

The calculation puts the size of the total moment at 0.89 μB per atom. The calculation puts the uncorrected formation energy at 192 meV per atom. The value obtained for the offset from the most stable computed form is 131 meV per atom. As for the energy: -4.271 eV per atom. The volume is 21.240 Å³/atom.

[3]
Material: Cr2AuBr
Method: DFT, PBE
State: optimized geometry

The structure belongs to space group I-42d (No. 122); the cell edges are 6.062, 6.062 and 12.519 Å and the angles 90.00°, 90.00° and 90.00°. The inequivalent atoms are Cr at (0.250, 0.250, 0.125), Au at (0.000, 0.000, 0.000) and Br at (0.000, 0.000, 0.500).

The calculation puts the size of the total moment at 2.46 μB per atom. The calculation puts the uncorrected formation energy at 635 meV per atom. The value obtained for the offset from the most stable computed form is 396 meV per atom. As for the energy: -5.414 eV per atom. The volume is 28.757 Å³/atom.

Please write out number 3 again, unchanged.
Material: Cr2AuBr
Method: DFT, PBE
State: optimized geometry

The structure belongs to space group I-42d (No. 122); the cell edges are 6.062, 6.062 and 12.519 Å and the angles 90.00°, 90.00° and 90.00°. The inequivalent atoms are Cr at (0.250, 0.250, 0.125), Au at (0.000, 0.000, 0.000) and Br at (0.000, 0.000, 0.500).

The calculation puts the size of the total moment at 2.46 μB per atom. The calculation puts the uncorrected formation energy at 635 meV per atom. The value obtained for the offset from the most stable computed form is 396 meV per atom. As for the energy: -5.414 eV per atom. The volume is 28.757 Å³/atom.

What did the second record say?
Material: CrAu2Br
Method: DFT, PBE
State: optimized geometry

The structure belongs to space group Cmmm (No. 65); the cell edges are 5.347, 9.003 and 3.530 Å and the angles 90.00°, 90.00° and 90.00°. The inequivalent atoms are Cr at (0.000, 0.000, 0.000), Au at (0.000, 0.226, 0.500) and Br at (0.000, 0.500, 0.000).

The calculation puts the size of the total moment at 0.89 μB per atom. The calculation puts the uncorrected formation energy at 192 meV per atom. The value obtained for the offset from the most stable computed form is 131 meV per atom. As for the energy: -4.271 eV per atom. The volume is 21.240 Å³/atom.

What is the formula in the first record? CrAuBr